(1)
Ac5SnRu: relaxed, PBE-GGA.

```
data_Ac5SnRu
_symmetry_space_group_name_H-M 'P 1'
_symmetry_Int_Tables_number 1
_cell_length_a 7.262
_cell_length_b 7.262
_cell_length_c 12.223
_cell_angle_alpha 72.75
_cell_angle_beta 72.75
_cell_angle_gamma 62.94
loop_
_symmetry_equiv_pos_as_xyz
'x,y,z'
loop_
_atom_site_label
_atom_site_fract_x
_atom_site_fract_y
_atom_site_fract_z
Ac1 0.610 0.968 0.636
Ac2 0.443 0.787 0.964
Ac3 0.032 0.390 0.864
Ac4 0.213 0.557 0.536
Ac5 0.390 0.032 0.364
Ac6 0.787 0.443 0.464
Ac7 0.964 0.036 0.250
Ac8 0.968 0.610 0.136
Ac9 0.036 0.964 0.750
Ac10 0.557 0.213 0.036
Ru1 0.000 0.000 0.500
Ru2 0.000 0.000 0.000
Sn1 0.519 0.481 0.750
Sn2 0.481 0.519 0.250
```

Values from the calculation:
The symmetry is C2/c (15). The calculation puts the formation enthalpy at 0 K at -18.8 kJ/mol of atoms. The value obtained for the size of the total moment is 0.0 μB/cell. The total DFT energy (no corrections) is -70.369 eV per cell.



(2)
Ac8Sn2Ru3: relaxed, PBE-GGA.

```
data_Ac8Sn2Ru3
_symmetry_space_group_name_H-M 'P 1'
_symmetry_Int_Tables_number 1
_cell_length_a 5.590
_cell_length_b 10.357
_cell_length_c 9.580
_cell_angle_alpha 122.66
_cell_angle_beta 94.84
_cell_angle_gamma 89.99
loop_
_symmetry_equiv_pos_as_xyz
'x,y,z'
loop_
_atom_site_label
_atom_site_fract_x
_atom_site_fract_y
_atom_site_fract_z
Ru1 0.500 0.000 0.000
Ru2 0.001 0.257 0.000
Ru3 0.999 0.743 0.000
Ac1 0.540 0.650 0.781
Ac2 0.960 0.611 0.222
Ac3 0.959 0.113 0.226
Ac4 0.460 0.869 0.219
Ac5 0.040 0.389 0.778
Ac6 0.460 0.350 0.219
Ac7 0.540 0.131 0.781
Ac8 0.041 0.887 0.774
Sn1 0.505 0.258 0.516
Sn2 0.495 0.742 0.484
```

Values from the calculation:
The symmetry is P-1 (2). The calculation puts the formation enthalpy at 0 K at -19.9 kJ/mol of atoms. The value obtained for the size of the total moment is 0.0 μB/cell. The total DFT energy (no corrections) is -71.383 eV per cell.



(3)
Ac5Sn2Ru: relaxed, PBE-GGA.

```
data_Ac5Sn2Ru
_symmetry_space_group_name_H-M 'P 1'
_symmetry_Int_Tables_number 1
_cell_length_a 4.897
_cell_length_b 8.914
_cell_length_c 13.175
_cell_angle_alpha 90.00
_cell_angle_beta 90.00
_cell_angle_gamma 90.00
loop_
_symmetry_equiv_pos_as_xyz
'x,y,z'
loop_
_atom_site_label
_atom_site_fract_x
_atom_site_fract_y
_atom_site_fract_z
Ac1 0.000 0.133 0.801
Ac2 0.000 0.000 0.500
Ac3 0.000 0.367 0.301
Ac4 0.000 0.867 0.199
Ac5 0.500 0.185 0.069
Ac6 0.000 0.500 0.000
Ac7 0.500 0.815 0.931
Ac8 0.000 0.633 0.699
Ac9 0.500 0.315 0.569
Ac10 0.500 0.685 0.431
Sn1 0.500 0.919 0.671
Sn2 0.500 0.081 0.329
Sn3 0.500 0.419 0.829
Sn4 0.500 0.581 0.171
Ru1 0.000 0.500 0.500
Ru2 0.000 0.000 0.000
```

Values from the calculation:
The relative energy among the computed polymorphs is 0.000 eV per atom. The symmetry is Pbam (55). The calculation puts the formation enthalpy at 0 K at -48.8 kJ/mol of atoms. The value obtained for the size of the total moment is 0.0 μB/cell. The total DFT energy (no corrections) is -83.734 eV per cell.



(4)
Ac3Sn4Ru2: relaxed, PBE-GGA.

```
data_Ac3Sn4Ru2
_symmetry_space_group_name_H-M 'P 1'
_symmetry_Int_Tables_number 1
_cell_length_a 4.595
_cell_length_b 6.529
_cell_length_c 9.760
_cell_angle_alpha 69.04
_cell_angle_beta 76.39
_cell_angle_gamma 69.40
loop_
_symmetry_equiv_pos_as_xyz
'x,y,z'
loop_
_atom_site_label
_atom_site_fract_x
_atom_site_fract_y
_atom_site_fract_z
Ac1 0.683 0.258 0.376
Ac2 0.317 0.742 0.624
Ac3 0.000 0.000 0.000
Ru1 0.611 0.052 0.726
Ru2 0.389 0.948 0.274
Sn1 0.742 0.613 0.903
Sn2 0.258 0.387 0.097
Sn3 0.974 0.701 0.351
Sn4 0.026 0.299 0.649
```

Values from the calculation:
The relative energy among the computed polymorphs is 0.069 eV per atom. The symmetry is C2/m (12). The calculation puts the formation enthalpy at 0 K at -43.6 kJ/mol of atoms. The value obtained for the size of the total moment is 0.0 μB/cell. The total DFT energy (no corrections) is -50.952 eV per cell.